[1]
K2UAgI6 | GGA-PBE | optimized geometry

Uncorrected formation energy (eV per formula unit): -8.917
Uncorrected energy (eV/atom): -3.46
Space group: R-3m (166)

a b c (Å): 15.246 15.246 15.246
angles (deg): 32.61 32.61 32.61
Fractional coordinates of all 20 atoms:
K  0.108  0.108  0.108
K  0.276  0.276  0.276
K  0.724  0.724  0.724
K  0.892  0.892  0.892
U  0.418  0.418  0.418
U  0.582  0.582  0.582
Ag  0.000  0.000  0.000
Ag  0.500  0.500  0.500
I  0.115  0.631  0.631
I  0.206  0.206  0.717
I  0.206  0.717  0.206
I  0.283  0.794  0.794
I  0.369  0.369  0.885
I  0.369  0.885  0.369
I  0.631  0.115  0.631
I  0.631  0.631  0.115
I  0.717  0.206  0.206
I  0.794  0.283  0.794
I  0.794  0.794  0.283
I  0.885  0.369  0.369


[2]
Ba2EuBi | GGA-PBE | optimized geometry

Uncorrected energy (eV/atom): -4.40
ΔE to the lowest computed polymorph (meV per atom): 537.2
Space group: R-3m (166)

a b c (Å): 14.084 14.084 14.084
angles (deg): 16.56 16.56 16.56
Fractional coordinates of all 4 atoms:
Ba  0.083  0.083  0.083
Ba  0.917  0.917  0.917
Eu  0.500  0.500  0.500
Bi  0.000  0.000  0.000


[3]
Cs2TbCe2Se6 | GGA-PBE | optimized geometry

Uncorrected formation energy (eV per formula unit): -18.983
Uncorrected energy (eV/atom): -5.28
Space group: C2/m (12)

a b c (Å): 7.422 7.422 8.885
angles (deg): 97.96 97.96 119.92
Fractional coordinates of all 11 atoms:
Cs  0.167  0.833  0.000
Cs  0.833  0.167  0.000
Tb  0.000  0.000  0.500
Ce  0.334  0.666  0.500
Ce  0.666  0.334  0.500
Se  0.060  0.392  0.682
Se  0.270  0.270  0.318
Se  0.392  0.060  0.682
Se  0.608  0.940  0.318
Se  0.730  0.730  0.682
Se  0.940  0.608  0.318